The following is a DFT calculation (PBE-GGA) of a relaxed structure of MnCrAs2.

Lattice parameters (Å, degrees): 4.0674 3.3268 4.8303 69.87 90.00 90.00
With the nearest neighbours (Å) after each atom.
Atoms (fractional coordinates):
As (0.0000, 0.9917, 0.8916)  3 Cr 2.56-2.59, 4 Mn 2.67
As (0.5000, 0.2598, 0.3551)  3 Mn 2.56-2.58, 4 Cr 2.67
Cr (0.0000, 0.7060, 0.4636)  2 Mn 2.51, 7 As 2.56-2.67
Mn (0.5000, 0.5425, 0.7896)  2 Cr 2.51, 7 As 2.56-2.67

Fermi-level density of states = 0.7282 states/eV/atom
Total magnetic moment = 0.79 μB per formula unit
Energy of formation from the pure elements = -0.025 eV per atom
Space group = Amm2, No. 38
Final energy = -28.2 eV/cell